# 1
DFT (PBE) results for Sm2Sc3Hg4 after structural relaxation.

Computed properties:
ρ ... 9.051 g/cm³
Calculated formation energy ... -0.352 eV per atom
VASP energy ... -65.611 eV/cell

```
data_Sm2Sc3Hg4
_cell_length_a 9.155
_cell_length_b 9.155
_cell_length_c 7.984
_cell_angle_alpha 90.00
_cell_angle_beta 90.00
_cell_angle_gamma 137.25
_space_group_name_H-M_alt 'P 1'
_space_group_IT_number 1
_space_group_name_Hall 'P 1'
loop_
_atom_site_label
_atom_site_fract_x
_atom_site_fract_y
_atom_site_fract_z
_atom_site_occupancy
Sm1 0.099 0.901 0.906 1
Sm2 0.401 0.599 0.406 1
Sm3 0.599 0.401 0.594 1
Sm4 0.901 0.099 0.094 1
Sc1 0.000 0.000 0.500 1
Sc2 0.012 0.488 0.750 1
Sc3 0.488 0.012 0.250 1
Sc4 0.500 0.500 0.000 1
Sc5 0.512 0.988 0.750 1
Sc6 0.988 0.512 0.250 1
Hg1 0.171 0.829 0.526 1
Hg2 0.186 0.314 0.750 1
Hg3 0.314 0.186 0.250 1
Hg4 0.329 0.671 0.026 1
Hg5 0.671 0.329 0.974 1
Hg6 0.686 0.814 0.750 1
Hg7 0.814 0.686 0.250 1
Hg8 0.829 0.171 0.474 1
```

# 2
DFT (PBE) results for BeMo2Br after structural relaxation.

Computed properties:
ρ ... 7.707 g/cm³
VASP energy ... -47.729 eV/cell

```
data_BeMo2Br
_cell_length_a 3.071
_cell_length_b 4.476
_cell_length_c 8.803
_cell_angle_alpha 90.00
_cell_angle_beta 90.00
_cell_angle_gamma 90.00
_space_group_name_H-M_alt 'P 1'
_space_group_IT_number 1
_space_group_name_Hall 'P 1'
loop_
_atom_site_label
_atom_site_fract_x
_atom_site_fract_y
_atom_site_fract_z
_atom_site_occupancy
Be1 0.000 0.000 0.000 1
Be2 0.500 0.500 0.500 1
Mo1 0.000 0.000 0.497 1
Mo2 0.000 0.500 0.713 1
Mo3 0.500 0.000 0.213 1
Mo4 0.500 0.500 0.997 1
Br1 0.000 0.500 0.237 1
Br2 0.500 0.000 0.737 1
```

# 3
DFT (PBE) results for K3GeBi after structural relaxation.

Computed properties:
ρ ... 3.384 g/cm³
Calculated formation energy ... -0.211 eV per atom
VASP energy ... -25.690 eV/cell

```
data_K3GeBi
_cell_length_a 4.018
_cell_length_b 10.211
_cell_length_c 10.325
_cell_angle_alpha 70.80
_cell_angle_beta 89.94
_cell_angle_gamma 78.74
_space_group_name_H-M_alt 'P 1'
_space_group_IT_number 1
_space_group_name_Hall 'P 1'
loop_
_atom_site_label
_atom_site_fract_x
_atom_site_fract_y
_atom_site_fract_z
_atom_site_occupancy
K1 0.000 0.000 0.000 1
K2 0.152 0.695 0.266 1
K3 0.309 0.382 0.946 1
K4 0.485 0.025 0.653 1
K5 0.665 0.671 0.614 1
K6 0.843 0.313 0.320 1
Ge1 0.298 0.404 0.567 1
Ge2 0.854 0.291 0.699 1
Bi1 0.496 0.007 0.302 1
Bi2 0.657 0.687 0.964 1
```

# 4
DFT (PBE) results for AlPbSe2 after structural relaxation.

Computed properties:
ρ ... 6.121 g/cm³
VASP energy ... -31.296 eV/cell

```
data_AlPbSe2
_cell_length_a 3.622
_cell_length_b 6.941
_cell_length_c 8.463
_cell_angle_alpha 90.00
_cell_angle_beta 90.00
_cell_angle_gamma 90.00
_space_group_name_H-M_alt 'P 1'
_space_group_IT_number 1
_space_group_name_Hall 'P 1'
loop_
_atom_site_label
_atom_site_fract_x
_atom_site_fract_y
_atom_site_fract_z
_atom_site_occupancy
Al1 0.000 0.000 0.000 1
Al2 0.500 0.500 0.000 1
Pb1 0.000 0.000 0.500 1
Pb2 0.500 0.500 0.500 1
Se1 0.000 0.500 0.197 1
Se2 0.000 0.500 0.803 1
Se3 0.500 0.000 0.197 1
Se4 0.500 0.000 0.803 1
```